1.
# HfH, optimized geometry, DFT PBE-GGA
data_HfH
_chemical_formula_sum 'Hf3 H3'
_cell_length_a 3.1835
_cell_length_b 3.1835
_cell_length_c 7.8460
_cell_angle_alpha 90.00
_cell_angle_beta 90.00
_cell_angle_gamma 120.00
_symmetry_space_group_name_H-M 'R -3 m'
_symmetry_Int_Tables_number 166
_symmetry_space_group_name_Hall '-R 3 2"'
loop_
_atom_site_label
_atom_site_type_symbol
_atom_site_fract_x
_atom_site_fract_y
_atom_site_fract_z
_atom_site_occupancy
Hf1 Hf 0.0000 0.0000 0.0000 1
H1 H 0.0000 0.0000 0.5000 1
# **VASP energy**: -41.443 eV for the cell shown
# **Size of the total moment**: 0.0003 μB/atom

2.
# Cs3Cu2Br5, optimized geometry, DFT PBE-GGA
data_Cs3Cu2Br5
_chemical_formula_sum 'Cs12 Cu8 Br20'
_cell_length_a 9.730
_cell_length_b 11.100
_cell_length_c 13.785
_cell_angle_alpha 90.00
_cell_angle_beta 90.00
_cell_angle_gamma 90.00
_symmetry_space_group_name_H-M 'P n m a'
_symmetry_Int_Tables_number 62
loop_
_symmetry_equiv_pos_as_xyz
'x,y,z'
'-x,-y,-z'
'-x+1/2,-y,z+1/2'
'x+1/2,y,-z+1/2'
'x+1/2,-y+1/2,-z+1/2'
'-x+1/2,y+1/2,z+1/2'
'-x,y+1/2,-z'
'x,-y+1/2,z'
loop_
_atom_site_label
_atom_site_type_symbol
_atom_site_fract_x
_atom_site_fract_y
_atom_site_fract_z
_atom_site_occupancy
Cs1 Cs 0.047 0.013 0.177 1
Cs2 Cs 0.098 0.750 0.454 1
Cu1 Cu 0.208 0.750 0.049 1
Cu2 Cu 0.248 0.250 0.370 1
Br1 Br 0.033 0.250 0.988 1
Br2 Br 0.169 0.750 0.709 1
Br3 Br 0.190 0.062 0.446 1
Br4 Br 0.201 0.250 0.710 1
# **VASP energy**: -121.696 eV for the cell shown

3.
# HoThTa, optimized geometry, DFT PBE-GGA
data_HoThTa
_chemical_formula_sum 'Ho4 Th4 Ta4'
_cell_length_a 7.065
_cell_length_b 7.065
_cell_length_c 7.065
_cell_angle_alpha 90.00
_cell_angle_beta 90.00
_cell_angle_gamma 90.00
_symmetry_space_group_name_H-M 'F -4 3 m'
_symmetry_Int_Tables_number 216
_symmetry_space_group_name_Hall 'F -4 2 3'
loop_
_atom_site_label
_atom_site_type_symbol
_atom_site_fract_x
_atom_site_fract_y
_atom_site_fract_z
_atom_site_occupancy
Ho1 Ho 0.000 0.000 0.000 1
Th1 Th 0.250 0.250 0.250 1
Ta1 Ta 0.250 0.250 0.750 1
# **VASP energy**: -80.412 eV for the cell shown
# **Formation enthalpy at 0 K**: 3.74 eV/f.u.
# **Size of the total moment**: 0.2338 μB/atom

4.
# BaGdIn2Pd4, optimized geometry, DFT PBE-GGA
data_BaGdIn2Pd4
_chemical_formula_sum 'Ba1 Gd1 In2 Pd4'
_cell_length_a 4.6561
_cell_length_b 4.6561
_cell_length_c 9.8065
_cell_angle_alpha 90.00
_cell_angle_beta 90.00
_cell_angle_gamma 120.00
_symmetry_space_group_name_H-M 'P -6 m 2'
_symmetry_Int_Tables_number 187
_symmetry_space_group_name_Hall 'P -6 2'
loop_
_atom_site_label
_atom_site_type_symbol
_atom_site_fract_x
_atom_site_fract_y
_atom_site_fract_z
_atom_site_occupancy
Ba1 Ba 0.0000 0.0000 0.0000 1
Gd1 Gd 0.3333 0.6667 0.5000 1
In1 In 0.6667 0.3333 0.2742 1
Pd1 Pd 0.0000 0.0000 0.3488 1
Pd2 Pd 0.3333 0.6667 0.2090 1
# **VASP energy**: -38.417 eV for the cell shown
# **Size of the total moment**: 0.0003 μB/atom

5.
# Sc4Ta2Al3C3, optimized geometry, DFT PBE-GGA
data_Sc4Ta2Al3C3
_chemical_formula_sum 'Sc16 Ta8 Al12 C12'
_cell_length_a 9.751
_cell_length_b 5.639
_cell_length_c 14.619
_cell_angle_alpha 90.00
_cell_angle_beta 103.28
_cell_angle_gamma 90.00
_symmetry_space_group_name_H-M 'C 1 2/c 1'
_symmetry_Int_Tables_number 15
loop_
_symmetry_equiv_pos_as_xyz
'x,y,z'
'-x,-y,-z'
'-x,y,-z+1/2'
'x,-y,z+1/2'
'x+1/2,y+1/2,z'
'-x+1/2,-y+1/2,-z'
'-x+1/2,y+1/2,-z+1/2'
'x+1/2,-y+1/2,z+1/2'
loop_
_atom_site_label
_atom_site_type_symbol
_atom_site_fract_x
_atom_site_fract_y
_atom_site_fract_z
_atom_site_occupancy
Sc1 Sc 0.114 0.074 0.091 1
Sc2 Sc 0.214 0.089 0.409 1
Ta1 Ta 0.061 0.412 0.923 1
Al1 Al 0.000 0.131 0.750 1
Al2 Al 0.142 0.442 0.249 1
C1 C 0.079 0.264 0.500 1
C2 C 0.250 0.250 0.000 1
# **VASP energy**: -378.236 eV for the cell shown
# **Size of the total moment**: 0.0005 μB/atom

6.
# SmSnNO, optimized geometry, DFT PBE-GGA
data_SmSnNO
_chemical_formula_sum 'Sm2 Sn2 N2 O2'
_cell_length_a 3.916
_cell_length_b 5.908
_cell_length_c 6.469
_cell_angle_alpha 90.00
_cell_angle_beta 90.00
_cell_angle_gamma 90.00
_symmetry_space_group_name_H-M 'P m c 21'
_symmetry_Int_Tables_number 26
loop_
_symmetry_equiv_pos_as_xyz
'x,y,z'
'-x,-y,z+1/2'
'-x,y,z'
'x,-y,z+1/2'
loop_
_atom_site_label
_atom_site_type_symbol
_atom_site_fract_x
_atom_site_fract_y
_atom_site_fract_z
_atom_site_occupancy
Sm1 Sm 0.000 0.196 0.000 1
Sn1 Sn 0.500 0.284 0.462 1
N1 N 0.500 0.395 0.092 1
O1 O 0.000 0.144 0.660 1
# **VASP energy**: -53.948 eV for the cell shown
# **Size of the total moment**: 0.0000 μB/atom

- What is the formula in the third record?
  HoThTa

What did the sixth record say?
# SmSnNO, optimized geometry, DFT PBE-GGA
data_SmSnNO
_chemical_formula_sum 'Sm2 Sn2 N2 O2'
_cell_length_a 3.916
_cell_length_b 5.908
_cell_length_c 6.469
_cell_angle_alpha 90.00
_cell_angle_beta 90.00
_cell_angle_gamma 90.00
_symmetry_space_group_name_H-M 'P m c 21'
_symmetry_Int_Tables_number 26
loop_
_symmetry_equiv_pos_as_xyz
'x,y,z'
'-x,-y,z+1/2'
'-x,y,z'
'x,-y,z+1/2'
loop_
_atom_site_label
_atom_site_type_symbol
_atom_site_fract_x
_atom_site_fract_y
_atom_site_fract_z
_atom_site_occupancy
Sm1 Sm 0.000 0.196 0.000 1
Sn1 Sn 0.500 0.284 0.462 1
N1 N 0.500 0.395 0.092 1
O1 O 0.000 0.144 0.660 1
# **VASP energy**: -53.948 eV for the cell shown
# **Size of the total moment**: 0.0000 μB/atom